1.
TaAgBr2 PBE relaxed; energy above the most stable polymorph in this dataset = 69.9 kJ/mol of atoms; symmetry = I4/mmm; D(E_F) = 2.7 states/eV/cell; total moment = 0.25 μB per cell
1.0
5.0635 -0.0087 0.0000
1.1139 4.9395 0.0000
-3.0887 -2.4654 3.1656
Br Ag Ta
2 1 1
Cartesian
0.0000 0.0000 0.0000
3.0887 2.4654 0.0000
2.5318 -0.0043 1.5828
0.5569 2.4698 1.5828

***

2.
YNp2Fe9 PBE relaxed; symmetry = R-3m; formation enthalpy at 0 K = -0.025 eV/atom; D(E_F) = 17.6 states/eV/cell; total moment = 10.60 μB per cell
1.0
4.7528 0.0000 1.4145
2.1659 4.2306 1.4145
-0.0025 -0.0015 8.7004
Y Np Fe
1 2 9
Cartesian
0.0000 0.0000 0.0000
5.8977 3.6063 6.2594
1.0185 0.6228 5.2700
4.6125 2.8204 10.5780
2.3037 1.4087 0.9514
3.4581 2.1145 5.7647
2.9015 1.7742 3.3178
5.2621 1.7742 4.0203
3.9773 3.8754 4.0203
4.0147 2.4549 8.2116
2.9389 0.3537 7.5091
1.6541 2.4549 7.5091

***

3.
TbSm2Th PBE relaxed; energy above the most stable polymorph in this dataset = 2.8 kJ/mol of atoms; symmetry = P4/mmm; formation enthalpy at 0 K = 0.049 eV/atom; D(E_F) = 5.0 states/eV/cell; total moment = 0.00 μB per cell
1.0
5.0915 0.0000 0.0000
0.0000 5.0789 0.0000
0.0000 0.0000 5.0789
Tb Sm Th
1 2 1
Cartesian
2.5457 2.5395 2.5395
0.0000 0.0000 2.5395
0.0000 2.5395 0.0000
2.5457 0.0000 0.0000

***

Question: What is the total moment in the third record?
Answer: 0.00 μB per cell